VASP calculation (PBE-GGA) on Dy7Al2Ge2 after structural relaxation.

Energy relative to the elements (meV/atom): -288
Size of the total moment (μB/cell): 0.000
N(E_F) (states/eV per atom): 0.92

Geometry as CIF:
```
data_Dy7Al2Ge2
_chemical_formula_sum 'Dy7 Al2 Ge2'
_space_group_name_H-M_alt 'P 1'
_space_group_IT_number 1
_cell_length_a 6.6907
_cell_length_b 6.6907
_cell_length_c 7.1572
_cell_angle_alpha 90.00
_cell_angle_beta 90.00
_cell_angle_gamma 107.38
loop_
_space_group_symop_operation_xyz
'x,y,z'
loop_
_atom_site_label
_atom_site_fract_x
_atom_site_fract_y
_atom_site_fract_z
Dy1 0.0000 0.0000 0.0000
Dy2 0.0000 0.5000 0.2768
Dy3 0.0000 0.5000 0.7232
Dy4 0.5000 0.0000 0.2768
Dy5 0.5000 0.0000 0.7232
Dy6 0.5000 0.5000 0.2624
Dy7 0.5000 0.5000 0.7376
Al1 0.1679 0.1679 0.5000
Al2 0.8321 0.8321 0.5000
Ge1 0.2883 0.7117 0.0000
Ge2 0.7117 0.2883 0.0000
```